Record 1
PBE Y8Ho6Sc, optimized geometry; polymorph energy (0 for the lowest one) = 0 meV per atom; energy of formation = 0.14 eV per atom
1.0
5.7183 0.0000 0.0000
0.0000 8.5044 -4.9100
0.0000 0.0000 9.8200
Ho Y Sc
6 8 1
Cartesian
4.2371 5.2779 -2.1454
4.2371 7.7234 0.7335
1.4812 0.7809 4.1765
4.2371 4.0074 1.4119
1.4812 3.2265 7.0555
1.4812 4.4970 3.4981
4.3847 0.4253 2.4084
4.3847 1.8731 8.2475
1.3335 8.0791 2.5016
4.3847 6.2060 4.0741
1.3335 2.2984 0.8359
1.3335 6.6313 -3.3375
1.3411 5.6696 0.0000
4.3772 2.8348 4.9100
2.8591 0.0000 0.0000



Record 2
PBE Y3Ho2Sc2, optimized geometry; polymorph energy (0 for the lowest one) = 57 meV per atom; energy of formation = 0.14 eV per atom
1.0
3.4056 0.0000 0.0000
0.0000 8.3452 -0.7147
-1.7028 -3.4769 7.7078
Ho Sc Y
2 2 3
Cartesian
1.7028 3.2383 5.0448
0.0000 1.6300 1.9483
1.7028 7.1558 0.3394
0.0000 -2.2874 6.6537
0.0000 4.1726 -0.3574
1.7028 -0.3601 4.2953
0.0000 5.2284 2.6978



Record 3
PBE Y6Ho8Sc, optimized geometry; polymorph energy (0 for the lowest one) = 25 meV per atom; energy of formation = 0.14 eV per atom
1.0
-3.0977 4.6134 -1.4806
-7.5658 -3.4352 5.1255
6.5779 5.7956 4.2960
Ho Y Sc
8 6 1
Cartesian
-2.7609 5.5701 5.9635
-3.0874 2.0418 7.6534
-0.5126 6.2571 3.4369
2.2061 8.2919 4.0524
-3.5730 0.7167 4.5040
-1.3247 1.4037 1.9774
-6.2917 -1.3181 3.8885
-0.9983 4.9320 0.2875
1.5810 3.5986 2.0961
-5.6667 3.3752 5.8448
-0.7282 2.9861 5.0188
2.3203 5.1706 5.4475
-6.4060 1.8032 2.4934
-3.3575 3.9877 2.9221
-1.5489 2.3067 -0.7403



Record 4
PBE YHo9Sc2, optimized geometry; energy of formation = 0.04 eV per atom
1.0
-1.1825 1.0745 -4.6673
-2.0295 -4.4669 -0.5141
-12.9868 5.3793 4.5287
Ho Y Sc
9 1 2
Cartesian
-1.6060 -1.6962 -2.5907
-7.0847 3.2269 -0.0693
-5.9729 0.1126 -1.0679
-7.5082 0.4562 2.0073
-11.7716 2.2222 3.4940
-11.3481 4.9929 1.4174
-10.2260 1.8743 0.4152
-2.8212 1.4609 -1.5560
-3.2447 -1.3098 0.5206
0.0000 0.0000 0.0000
-4.3563 1.8044 1.5191
-8.6306 3.5749 3.0096



Record 5
PBE Y9Ho11Sc4, optimized geometry; energy of formation = 0.04 eV per atom
1.0
-0.3579 1.6282 -3.1679
-14.3053 -4.2741 -0.5804
1.8595 13.2701 6.6102
Y Ho Sc
9 11 4
Cartesian
-3.9395 10.3038 3.7182
-0.8119 3.3902 -0.1884
-1.3742 8.4496 2.4754
-11.4295 2.1746 0.3865
-8.8643 0.3204 -0.8563
-9.6485 9.7774 4.0928
-6.4019 5.3121 1.4310
-11.9919 7.2340 3.0504
-3.1553 0.8468 -1.2308
-8.3196 2.2224 2.0822
-11.7286 -1.4775 0.5658
-3.7088 2.6808 1.7969
-6.7024 10.1113 5.9541
-4.1262 6.7736 3.9476
-8.7370 6.3152 4.2329
0.0821 5.2074 2.6671
-5.7435 -1.1153 0.0757
0.0000 0.0000 0.0000
-0.7173 10.4735 5.4640
-12.5280 3.7886 3.3627
-6.6949 8.4892 3.0970
-6.1089 2.1350 -0.2350
-2.8289 5.6948 1.2240
-9.9749 4.9294 1.6380



Record 6
PBE YHo7Sc3, optimized geometry; polymorph energy (0 for the lowest one) = 131 meV per atom; energy of formation = 0.27 eV per atom
1.0
-2.4536 0.5740 -5.0766
-4.1276 -5.3697 4.5575
-2.8958 5.5863 5.2009
Ho Sc Y
7 3 1
Cartesian
-6.1943 3.7955 3.4311
-3.5117 0.1083 4.8792
-6.9247 -2.7011 3.0496
-1.8455 0.1542 0.9079
-2.5523 3.4917 1.6322
-3.2827 -3.0049 1.2507
-7.6315 0.6364 3.7739
-3.1579 3.2549 5.0640
-3.8655 -3.0383 4.6944
-1.2268 0.2870 -2.5383
-4.7385 0.3953 2.3409